1.
Density functional theory data (PBE) for an optimized crystal structure of Pa8Ir5Rh.

The structure belongs to space group I-4 (No. 82); the cell edges are 8.550, 8.550 and 8.643 Å and the angles 90.00°, 90.00° and 90.00°. The inequivalent atoms are Pa at (0.058, 0.189, 0.314), Pa at (0.066, 0.309, 0.933), Ir at (0.000, 0.000, 0.000), Ir at (0.125, 0.253, 0.623) and Rh at (0.000, 0.500, 0.250).

The value obtained for the formation energy is -0.644 eV per atom. The raw total energy comes out at -9.7601 eV/atom. The crystal system is tetragonal.

=====

2.
Density functional theory data (PBE) for an optimized crystal structure of Pa2IrRh.

The structure belongs to space group P4/mmm (No. 123); the cell edges are 4.344, 4.344 and 4.180 Å and the angles 90.00°, 90.00° and 90.00°. The inequivalent atoms are Pa at (0.000, 0.500, 0.000), Ir at (0.000, 0.000, 0.500) and Rh at (0.500, 0.500, 0.500).

The excess energy over the best structure of this formula in the dataset comes out at 0.2037 eV per atom. The value obtained for the formation energy is -0.564 eV per atom. The raw total energy comes out at -9.3651 eV/atom. The crystal system is tetragonal.

=====

3.
Density functional theory data (PBE) for an optimized crystal structure of PaIrRuRh.

The structure belongs to space group Pmmm (No. 47); the cell edges are 4.035, 4.054 and 4.101 Å and the angles 90.00°, 90.00° and 90.00°. The inequivalent atoms are Pa at (0.000, 0.000, 0.000), Ir at (0.000, 0.500, 0.500), Ru at (0.500, 0.500, 0.000) and Rh at (0.500, 0.000, 0.500).

The value obtained for the formation energy is -0.722 eV per atom. The raw total energy comes out at -9.4684 eV/atom. The crystal system is orthorhombic.

=====

4.
Density functional theory data (PBE) for an optimized crystal structure of Pa4IrRhS2.

The structure belongs to space group P2/m (No. 10); the cell edges are 6.606, 3.825 and 7.320 Å and the angles 90.00°, 107.49° and 90.00°. The inequivalent atoms are Pa at (0.249, 0.000, 0.249), Pa at (0.250, 0.500, 0.750), Ir at (0.000, 0.000, 0.500), Rh at (0.500, 0.500, 0.500), S at (0.000, 0.500, 0.000) and S at (0.500, 0.000, 0.000).

The calculation puts the formation energy from raw total energies at -8.7 eV per formula unit. The raw total energy comes out at -8.8980 eV/atom. The crystal system is monoclinic.

=====

5.
Density functional theory data (PBE) for an optimized crystal structure of PaSi2IrRh.

The structure belongs to space group I-4m2 (No. 119); the cell edges are 4.048, 4.048 and 10.074 Å and the angles 90.00°, 90.00° and 90.00°. The inequivalent atoms are Pa at (0.000, 0.000, 0.000), Si at (0.000, 0.000, 0.383), Ir at (0.000, 0.500, 0.250) and Rh at (0.000, 0.500, 0.750).

The calculation puts the formation energy from raw total energies at -4.9 eV per formula unit. The raw total energy comes out at -8.2914 eV/atom. The crystal system is tetragonal.

=====

6.
Density functional theory data (PBE) for an optimized crystal structure of Pa2Si4Ir3Rh.

The structure belongs to space group P-4m2 (No. 115); the cell edges are 4.112, 4.112 and 9.934 Å and the angles 90.00°, 90.00° and 90.00°. The inequivalent atoms are Pa at (0.000, 0.500, 0.249), Si at (0.000, 0.000, 0.000), Si at (0.000, 0.500, 0.633), Si at (0.500, 0.500, 0.000), Ir at (0.000, 0.500, 0.872), Ir at (0.500, 0.500, 0.500) and Rh at (0.000, 0.000, 0.500).

The calculation puts the formation energy from raw total energies at -10.1 eV per formula unit. The raw total energy comes out at -8.4707 eV/atom. The crystal system is tetragonal.

=====

7.
Density functional theory data (PBE) for an optimized crystal structure of PaSi2Ir2Rh.

The structure belongs to space group I4/mmm (No. 139); the cell edges are 3.911, 3.911 and 17.101 Å and the angles 90.00°, 90.00° and 90.00°. The inequivalent atoms are Pa at (0.000, 0.000, 0.000), Si at (0.000, 0.000, 0.171), Ir at (0.000, 0.500, 0.250) and Rh at (0.000, 0.000, 0.500).

The calculation puts the formation energy from raw total energies at -0.6 eV per formula unit. The raw total energy comes out at -7.6735 eV/atom. The crystal system is tetragonal.

=====

8.
Density functional theory data (PBE) for an optimized crystal structure of Pa2Si4IrRh3.

The structure belongs to space group P-4m2 (No. 115); the cell edges are 4.100, 4.100 and 9.897 Å and the angles 90.00°, 90.00° and 90.00°. The inequivalent atoms are Pa at (0.000, 0.500, 0.248), Si at (0.000, 0.000, 0.000), Si at (0.000, 0.500, 0.634), Si at (0.500, 0.500, 0.000), Ir at (0.000, 0.000, 0.500), Rh at (0.000, 0.500, 0.873) and Rh at (0.500, 0.500, 0.500).

The calculation puts the formation energy from raw total energies at -9.9 eV per formula unit. The raw total energy comes out at -8.1504 eV/atom. The crystal system is tetragonal.

=====

> Which of these has the highest raw total energy?

PaSi2Ir2Rh